A plane-wave DFT calculation with PBE was carried out for crystalline CaTcRh at its relaxed geometry.

a b c (Å): 5.1013 4.4533 10.2010
angles (deg): 90.00 90.00 90.00
Closest atoms and distances in Å follow each position.
Atoms (fractional coordinates):
Ca1 0.1066 0.2500 0.1250  2 Rh 2.63-2.66, 2 Tc 2.95
Ca2 0.3934 0.7500 0.6250  2 Rh 2.63-2.66, 2 Tc 2.95
Ca3 0.6066 0.2500 0.3750  2 Rh 2.63-2.66, 2 Tc 2.95
Ca4 0.8934 0.7500 0.8750  2 Rh 2.63-2.66, 2 Tc 2.95
Tc1 0.1004 0.7500 0.3146  3 Rh 2.60-2.66, 2 Tc 2.87
Tc2 0.3996 0.2500 0.8146  3 Rh 2.60-2.66, 2 Tc 2.87
Tc3 0.6004 0.7500 0.1854  3 Rh 2.60-2.66, 2 Tc 2.87
Tc4 0.8996 0.2500 0.6854  3 Rh 2.60-2.66, 2 Tc 2.87
Rh1 0.1036 0.2500 0.4453  3 Tc 2.60-2.66, 2 Ca 2.63-2.66, 2 Rh 2.71
Rh2 0.3964 0.7500 0.9453  3 Tc 2.60-2.66, 2 Ca 2.63-2.66, 2 Rh 2.71
Rh3 0.6036 0.2500 0.0547  3 Tc 2.60-2.66, 2 Ca 2.63-2.66, 2 Rh 2.71
Rh4 0.8964 0.7500 0.5547  3 Tc 2.60-2.66, 2 Ca 2.63-2.66, 2 Rh 2.71

Calculated values
Energy relative to the elements: 0.17 eV/atom
Energy above the most stable polymorph in this dataset: 273.7 meV/atom
DOS(E_F): 13.5 states/eV/cell